[1]
! SrInGePd3 (GGA-PBE, optimized geometry); values from VASP
! SG: No. 63
! calculated volume: 23.7 Å³/atom
! ΔE_f: -0.467 eV per atom
! VASP energy: -4.570 eV per atom
! calculated density: 6.94 Mg/m³
&SYSTEM
  ibrav = 0, nat = 12, ntyp = 4
/
ATOMIC_SPECIES
Sr 87.62 Sr.upf
Pd 106.42 Pd.upf
In 114.82 In.upf
Ge 72.64 Ge.upf
ATOMIC_POSITIONS angstrom
Sr -4.4947 -1.6266 -0.6899
Sr -5.9645 1.2304 2.1722
Pd -0.5572 -0.5327 -1.2281
Pd -6.8860 0.2985 -0.4401
Pd -3.5732 -0.6948 1.9224
Pd -2.3466 1.8119 -1.4333
Pd -3.4679 0.7399 -3.9049
Pd -1.6784 -1.6047 -3.6997
In -5.4217 -1.9832 3.3198
In -5.0376 1.5870 -1.8375
Ge -1.8759 0.4884 0.6392
Ge -8.5833 -0.8846 0.8431
CELL_PARAMETERS angstrom
-3.5789 4.6893 -0.4103
-2.2356 -2.1374 -4.9279
-4.6447 -2.9481 6.8205

***

[2]
! SmScTcGe2 (GGA-PBE, optimized geometry); values from VASP
! SG: No. 119
! calculated volume: 19.7 Å³/atom
! ΔE_f: -0.654 eV per atom
! VASP energy: -6.784 eV per atom
! calculated density: 7.39 Mg/m³
&SYSTEM
  ibrav = 0, nat = 5, ntyp = 4
/
ATOMIC_SPECIES
Ge 72.64 Ge.upf
Tc 98.00 Tc.upf
Sm 150.36 Sm.upf
Sc 44.96 Sc.upf
ATOMIC_POSITIONS angstrom
Ge 3.7591 -0.3158 2.8163
Ge -0.5611 0.9142 2.9484
Tc 1.9713 1.6441 2.5362
Sm 0.0000 0.0000 0.0000
Sc 1.2267 -1.0458 3.2285
CELL_PARAMETERS angstrom
-0.8181 3.6883 1.5056
-2.3075 -1.6916 2.8902
6.3236 -1.3983 1.3689

***

[3]
! NdMgPd (GGA-PBE, optimized geometry); values from VASP
! SG: No. 216
! calculated volume: 26.4 Å³/atom
! ΔE_f: -0.482 eV per atom
! VASP energy: -4.334 eV per atom
! calculated density: 5.77 Mg/m³
&SYSTEM
  ibrav = 0, nat = 3, ntyp = 3
/
ATOMIC_SPECIES
Pd 106.42 Pd.upf
Nd 144.24 Nd.upf
Mg 24.30 Mg.upf
ATOMIC_POSITIONS angstrom
Pd 2.4088 1.3907 0.9834
Nd 0.0000 0.0000 0.0000
Mg 4.8176 2.7815 1.9668
CELL_PARAMETERS angstrom
4.8176 0.0000 0.0000
2.4088 4.1722 0.0000
2.4088 1.3907 3.9336